# SmH10C9O10

An optimized crystal structure of SmH10C9O10 (PBE, the Open Quantum Materials Database).

Lattice parameters (Å, degrees): 7.403 8.536 10.081 68.54 73.31 76.16
Sites, in units of the cell vectors:
C: 0.309 0.826 0.005
C: 0.173 0.147 0.042
C: 0.727 0.866 0.094
C: 0.659 0.026 0.112
C: 0.204 0.840 0.141
C: 0.135 0.999 0.160
C: 0.548 0.038 0.257
C: 0.167 0.684 0.268
C: 0.585 0.470 0.446
C: 0.415 0.530 0.554
C: 0.833 0.316 0.732
C: 0.452 0.962 0.743
C: 0.865 0.001 0.840
C: 0.796 0.160 0.859
C: 0.341 0.974 0.888
C: 0.273 0.134 0.906
C: 0.827 0.853 0.958
C: 0.691 0.174 0.995
H: 0.798 0.614 0.008
H: 0.643 0.298 0.012
H: 0.513 0.535 0.134
H: 0.700 0.752 0.187
H: 0.680 0.411 0.194
H: 0.048 0.306 0.227
H: 0.057 0.007 0.267
H: 0.907 0.397 0.345
H: 0.885 0.113 0.429
H: 0.324 0.919 0.480
H: 0.676 0.081 0.520
H: 0.115 0.887 0.571
H: 0.093 0.603 0.655
H: 0.943 0.993 0.733
H: 0.952 0.694 0.773
H: 0.320 0.589 0.806
H: 0.300 0.248 0.813
H: 0.487 0.465 0.866
H: 0.357 0.702 0.988
H: 0.202 0.386 0.992
O: 0.111 0.302 0.063
O: 0.651 0.496 0.103
O: 0.270 0.542 0.262
O: 0.444 0.177 0.264
O: 0.005 0.296 0.334
O: 0.559 0.905 0.369
O: 0.038 0.698 0.379
O: 0.566 0.357 0.400
O: 0.734 0.538 0.409
O: 0.804 0.023 0.484
O: 0.196 0.977 0.516
O: 0.266 0.462 0.591
O: 0.434 0.643 0.600
O: 0.962 0.302 0.621
O: 0.441 0.095 0.631
O: 0.995 0.704 0.666
O: 0.556 0.823 0.736
O: 0.730 0.458 0.738
O: 0.349 0.504 0.897
O: 0.889 0.698 0.938
Sm: 0.251 0.269 0.462
Sm: 0.749 0.731 0.538

Values from the calculation:
- VASP energy: -6.667 eV per atom